Here is an optimized crystal structure of Li2AlZnGe from Alexandria via LeMat-Bulk. Energies are from GGA-PBE.

Values from the calculation:
Energy relative to the elements: 0.45 eV per atom
Total magnetization: 0.00 μB per formula unit

```
Li2AlZnGe
1.0
4.867 0.000 0.000
0.000 4.867 0.000
0.000 0.000 4.627
Li Al Zn Ge
2 1 1 1
direct
0.000 0.500 0.000
0.500 0.000 0.000
0.000 0.000 0.000
0.000 0.000 0.500
0.500 0.500 0.500
```